1.
Computed, not measured: a relaxed structure of Co2SnH at the GGA-PBE level of DFT.

abc: 2.970 2.970 6.250
angles: 76.26 76.26 60.00
Positions (direct):
Co (0.282, 0.282, 0.154)
Co (0.718, 0.718, 0.846)
Sn (0.500, 0.500, 0.500)
H (0.000, 0.000, 0.000)

Values from the calculation:
excess energy over the best structure of this formula in the dataset = 0.092 eV/atom
space group = R-3m, No. 166
total DFT energy (no corrections) = -5.1500 eV/atom

2.
Computed, not measured: a relaxed structure of Tm6InBi2 at the GGA-PBE level of DFT.

abc: 6.896 6.896 13.778
angles: 90.00 90.00 90.00
Positions (direct):
Tm (0.305, 0.305, 0.663)
Tm (0.795, 0.205, 0.500)
Tm (0.805, 0.195, 0.837)
Tm (0.195, 0.805, 0.837)
Tm (0.695, 0.695, 0.337)
Tm (0.205, 0.795, 0.500)
Tm (0.195, 0.805, 0.163)
Tm (0.695, 0.695, 0.663)
Tm (0.295, 0.295, 0.000)
Tm (0.305, 0.305, 0.337)
Tm (0.705, 0.705, 0.000)
Tm (0.805, 0.195, 0.163)
In (0.500, 0.500, 0.500)
In (0.000, 0.000, 0.000)
Bi (0.000, 0.000, 0.666)
Bi (0.500, 0.500, 0.166)
Bi (0.000, 0.000, 0.334)
Bi (0.500, 0.500, 0.834)

Values from the calculation:
E_form = 0.777 eV/f.u.
space group = P4_2/mnm, No. 136
total DFT energy (no corrections) = -4.0614 eV/atom

3.
Computed, not measured: a relaxed structure of LiAcCuRh at the GGA-PBE level of DFT.

abc: 4.932 4.932 4.932
angles: 60.00 60.00 60.00
Positions (direct):
Ac (0.000, 0.000, 0.000)
Cu (0.750, 0.750, 0.750)
Rh (0.250, 0.250, 0.250)
Li (0.500, 0.500, 0.500)

Values from the calculation:
E_form = -0.437 eV/f.u.
space group = F-43m, No. 216
total DFT energy (no corrections) = -4.4768 eV/atom

4.
Computed, not measured: a relaxed structure of TlInSe2 at the GGA-PBE level of DFT.

abc: 4.081 4.082 7.784
angles: 105.17 105.21 90.01
Positions (direct):
Se (0.587, 0.247, 0.960)
Se (0.856, 0.515, 0.496)
Tl (0.221, 0.882, 0.228)
In (0.471, 0.631, 0.728)

Values from the calculation:
formation energy without anion corrections = -0.495 eV/atom
space group = I-4m2, No. 119
total DFT energy (no corrections) = -3.5134 eV/atom

5.
Computed, not measured: a relaxed structure of LaCr2Br at the GGA-PBE level of DFT.

abc: 5.846 5.846 5.445
angles: 67.73 67.73 31.73
Positions (direct):
Cr (0.974, 0.974, 0.897)
Cr (0.526, 0.526, 0.603)
La (0.750, 0.750, 0.750)
Br (0.250, 0.250, 0.250)

Values from the calculation:
formation energy without anion corrections = 0.431 eV/atom
excess energy over the best structure of this formula in the dataset = 0.417 eV/atom
space group = C2/m, No. 12
total DFT energy (no corrections) = -6.0312 eV/atom

6.
Computed, not measured: a relaxed structure of Ca2Ag2I at the GGA-PBE level of DFT.

abc: 8.469 8.469 3.926
angles: 90.00 90.00 90.00
Positions (direct):
Ca (0.173, 0.673, 0.500)
Ca (0.827, 0.327, 0.500)
Ca (0.673, 0.827, 0.500)
Ca (0.327, 0.173, 0.500)
Ag (0.383, 0.883, 0.000)
Ag (0.617, 0.117, 0.000)
Ag (0.883, 0.617, 0.000)
Ag (0.117, 0.383, 0.000)
I (0.500, 0.500, 0.000)
I (0.000, 0.000, 0.000)

Values from the calculation:
formation energy without anion corrections = -0.435 eV/atom
excess energy over the best structure of this formula in the dataset = 0.030 eV/atom
space group = P4/mbm, No. 127
total DFT energy (no corrections) = -2.6859 eV/atom